First-principles (GGA+U) data for a relaxed ScVMoO6 crystal, as listed in the Alexandria database.

Summary:
- Magnetization: 4.00 Bohr magnetons per cell
- Density of states at the Fermi level: 0.45 states/eV/f.u.
- Total energy: -7.816 eV/atom

Geometry as extended XYZ:
```
18
Lattice="-4.7634 0.3437 -1.8105 1.3638 -4.0095 2.8548 -2.4867 4.4085 7.3794" Properties=species:S:1:pos:R:3 pbc="T T T"
Sc -1.3003 -1.4563 3.1446
Sc -4.5860 2.1990 5.2792
V -3.3427 -0.0052 1.5895
V -2.5436 0.7479 6.8343
Mo 0.0000 0.0000 0.0000
Mo -1.2433 2.2042 3.6897
O -2.6838 -1.7963 1.5931
O -4.5100 -0.3663 0.1235
O -1.7662 -0.9949 6.8491
O -1.3764 1.1090 8.3003
O -2.1459 0.4673 2.9988
O -4.6478 -0.6503 2.8234
O -3.9377 0.1661 8.0004
O -4.1202 1.7376 1.5747
O -1.2385 1.3930 5.6004
O -1.9486 0.5766 0.4233
O -3.7405 0.2754 5.4249
O -3.2026 2.5389 6.8306
```